(1)
Density functional theory data (GGA-PBE) for a relaxed CuIN2 crystal.

It has space group Fm-3m (No. 225), with a = 5.746 Å, b = 5.746 Å, c = 5.746 Å, α = 90.00°, β = 90.00° and γ = 90.00°. The inequivalent atoms are Cu at (0.000, 0.000, 0.000), I at (0.000, 0.000, 0.500) and N at (0.250, 0.250, 0.250).

As for the crystal system: cubic. For the total magnetic moment, the calculation gives 0.0 Bohr magnetons per cell. The calculation puts the uncorrected energy at -3.4928 eV/atom. The value obtained for the calculated volume is 11.9 A^3/atom. As for the raw formation energy: 2081 meV/atom.


(2)
Density functional theory data (GGA-PBE) for a relaxed Cu3IN crystal.

It has space group Pm-3m (No. 221), with a = 4.166 Å, b = 4.166 Å, c = 4.166 Å, α = 90.00°, β = 90.00° and γ = 90.00°. The inequivalent atoms are Cu at (0.000, 0.000, 0.500), I at (0.500, 0.500, 0.500) and N at (0.000, 0.000, 0.000).

As for the crystal system: cubic. For the total magnetic moment, the calculation gives 0.0 Bohr magnetons per cell. The calculation puts the uncorrected energy at -3.9266 eV/atom. The value obtained for the calculated volume is 14.5 A^3/atom. As for the raw formation energy: 506 meV/atom.


(3)
Density functional theory data (GGA-PBE) for a relaxed CuIN2 crystal.

It has space group I-42d (No. 122), with a = 4.614 Å, b = 4.614 Å, c = 11.060 Å, α = 90.00°, β = 90.00° and γ = 90.00°. The inequivalent atoms are Cu at (0.000, 0.000, 0.000), I at (0.000, 0.000, 0.500) and N at (0.221, 0.250, 0.125).

As for the crystal system: tetragonal. For the total magnetic moment, the calculation gives 0.0 Bohr magnetons per cell. The calculation puts the uncorrected energy at -4.0009 eV/atom. The value obtained for the calculated volume is 14.7 A^3/atom. As for the raw formation energy: 1573 meV/atom.


(4)
Density functional theory data (GGA-PBE) for a relaxed NaCuIN2 crystal.

It has space group P4/mmm (No. 123), with a = 4.407 Å, b = 4.407 Å, c = 6.438 Å, α = 90.00°, β = 90.00° and γ = 90.00°. The inequivalent atoms are Na at (0.000, 0.000, 0.000), Cu at (0.500, 0.500, 0.500), I at (0.000, 0.000, 0.500) and N at (0.000, 0.500, 0.000).

As for the crystal system: tetragonal. For the total magnetic moment, the calculation gives 5.0 Bohr magnetons per cell. The calculation puts the uncorrected energy at -2.8517 eV/atom. The value obtained for the calculated volume is 25.0 A^3/atom. As for the raw formation energy: 1871 meV/atom.


(5)
Density functional theory data (GGA-PBE) for a relaxed NaCuIN2 crystal.

It has space group P4/mmm (No. 123), with a = 4.114 Å, b = 4.114 Å, c = 6.377 Å, α = 90.00°, β = 90.00° and γ = 90.00°. The inequivalent atoms are Na at (0.000, 0.000, 0.000), Cu at (0.500, 0.500, 0.000), I at (0.000, 0.000, 0.500) and N at (0.000, 0.500, 0.500).

As for the crystal system: tetragonal. For the total magnetic moment, the calculation gives 0.0 Bohr magnetons per cell. The calculation puts the uncorrected energy at -2.8059 eV/atom. The value obtained for the calculated volume is 21.6 A^3/atom. As for the raw formation energy: 1917 meV/atom.


(6)
Density functional theory data (GGA-PBE) for a relaxed NaCuIN2 crystal.

It has space group P4/mmm (No. 123), with a = 4.027 Å, b = 4.027 Å, c = 6.402 Å, α = 90.00°, β = 90.00° and γ = 90.00°. The inequivalent atoms are Na at (0.000, 0.000, 0.000), Cu at (0.500, 0.500, 0.500), I at (0.500, 0.500, 0.000) and N at (0.000, 0.500, 0.500).

As for the crystal system: tetragonal. For the total magnetic moment, the calculation gives 4.1 Bohr magnetons per cell. The calculation puts the uncorrected energy at -3.6696 eV/atom. The value obtained for the calculated volume is 20.8 A^3/atom. As for the raw formation energy: 1054 meV/atom.


(7)
Density functional theory data (GGA-PBE) for a relaxed NbCuIN2 crystal.

It has space group P4/mmm (No. 123), with a = 3.999 Å, b = 3.999 Å, c = 6.050 Å, α = 90.00°, β = 90.00° and γ = 90.00°. The inequivalent atoms are Nb at (0.000, 0.000, 0.000), Cu at (0.500, 0.500, 0.500), I at (0.000, 0.000, 0.500) and N at (0.000, 0.500, 0.000).

As for the crystal system: tetragonal. For the total magnetic moment, the calculation gives 0.4 Bohr magnetons per cell. The calculation puts the uncorrected energy at -5.9653 eV/atom. The value obtained for the calculated volume is 19.3 A^3/atom. As for the raw formation energy: 508 meV/atom.


(8)
Density functional theory data (GGA-PBE) for a relaxed NbCuIN2 crystal.

It has space group P4/mmm (No. 123), with a = 3.944 Å, b = 3.944 Å, c = 4.991 Å, α = 90.00°, β = 90.00° and γ = 90.00°. The inequivalent atoms are Nb at (0.000, 0.000, 0.000), Cu at (0.500, 0.500, 0.500), I at (0.500, 0.500, 0.000) and N at (0.000, 0.500, 0.500).

As for the crystal system: tetragonal. For the total magnetic moment, the calculation gives 0.0 Bohr magnetons per cell. The calculation puts the uncorrected energy at -4.6728 eV/atom. The value obtained for the calculated volume is 15.5 A^3/atom. As for the raw formation energy: 1801 meV/atom.


Number 1: density of states at the Fermi level 8.416 states/eV per cell. Number 2: density of states at the Fermi level 4.107 states/eV per cell. Number 3: density of states at the Fermi level 11.503 states/eV per cell. Number 4: density of states at the Fermi level 2.223 states/eV per cell. Number 5: density of states at the Fermi level 3.925 states/eV per cell. Number 6: density of states at the Fermi level 1.457 states/eV per cell. Number 7: density of states at the Fermi level 1.807 states/eV per cell. Number 8: density of states at the Fermi level 5.156 states/eV per cell.